one | A plane-wave DFT calculation with PBE was carried out for a relaxed structure of Ag. Values from VASP.

Its symmetry is I4_1/amd, No. 141. The value obtained for the total magnetization is 0.000 μB/atom.

Geometry as Quantum ESPRESSO input:
```
&SYSTEM
  ibrav = 0, nat = 4, ntyp = 1
/
ATOMIC_SPECIES
Ag 107.87 Ag.upf
ATOMIC_POSITIONS angstrom
Ag 0.0000 1.3316 1.0504
Ag 0.0000 3.9947 1.7506
Ag 2.6631 1.3316 0.3501
Ag 2.6631 3.9947 2.4509
CELL_PARAMETERS angstrom
5.3262 0.0000 0.0000
0.0000 5.3262 0.0000
0.0000 0.0000 2.8010
```

***

two | A plane-wave DFT calculation with PBE was carried out for a relaxed structure of Ag. Values from VASP.

Its symmetry is Cmmm, No. 65. The value obtained for the total magnetization is 0.000 μB/atom.

Geometry as Quantum ESPRESSO input:
```
&SYSTEM
  ibrav = 0, nat = 12, ntyp = 1
/
ATOMIC_SPECIES
Ag 107.87 Ag.upf
ATOMIC_POSITIONS angstrom
Ag 0.0000 1.3662 0.0000
Ag 0.0000 10.2252 0.0000
Ag 1.4287 5.7957 1.4510
Ag 1.8280 2.8978 1.4510
Ag 1.8280 8.6936 1.4510
Ag 2.2273 0.0000 1.4510
Ag 3.6561 4.4295 0.0000
Ag 3.6561 7.1619 0.0000
Ag 5.0848 0.0000 1.4510
Ag 5.4841 2.8978 1.4510
Ag 5.4841 8.6936 1.4510
Ag 5.8834 5.7957 1.4510
CELL_PARAMETERS angstrom
7.3121 0.0000 0.0000
0.0000 11.5914 0.0000
0.0000 0.0000 2.9020
```

***

Which of them is most stable, and which least? Most stable: two; least stable: one.

***

one | A plane-wave DFT calculation with PBE was carried out for a relaxed structure of Al3Ag5. Values from VASP.

Its symmetry is R-3m, No. 166. The value obtained for the total magnetization is 0.000 μB/atom.

Geometry as Quantum ESPRESSO input:
```
&SYSTEM
  ibrav = 0, nat = 8, ntyp = 2
/
ATOMIC_SPECIES
Al 26.98 Al.upf
Ag 107.87 Ag.upf
ATOMIC_POSITIONS angstrom
Al -1.4595 -0.8426 4.6288
Al -1.4595 0.8426 9.2576
Al 0.0000 1.6852 4.6288
Ag 0.0000 0.0000 0.0000
Ag -2.9189 0.0000 6.9432
Ag -1.4595 0.8426 2.3144
Ag 1.4595 0.8426 2.3144
Ag 0.0000 0.0000 6.9432
CELL_PARAMETERS angstrom
2.9189 1.6853 4.6288
-2.9189 1.6853 4.6288
0.0000 -3.3705 4.6288
```

***

two | A plane-wave DFT calculation with PBE was carried out for a relaxed structure of Al3Ag5. Values from VASP.

Its symmetry is P1, No. 1. The value obtained for the total magnetization is 0.000 μB/atom.

Geometry as Quantum ESPRESSO input:
```
&SYSTEM
  ibrav = 0, nat = 16, ntyp = 2
/
ATOMIC_SPECIES
Al 26.98 Al.upf
Ag 107.87 Ag.upf
ATOMIC_POSITIONS angstrom
Al 0.0000 0.0000 0.0000
Al 3.8086 3.5934 5.8606
Al 2.9368 2.4697 2.4269
Al 4.6853 4.7131 2.4286
Al 6.5271 3.5915 6.1436
Al 7.6233 7.1825 4.8567
Ag 2.5444 1.4443 4.8785
Ag 1.3614 0.0978 2.4300
Ag 2.2111 4.6815 0.9936
Ag 5.0768 5.7405 4.8787
Ag 5.2561 1.4407 7.1031
Ag 5.4064 2.5101 3.8806
Ag 6.2617 7.0857 2.4314
Ag 7.7940 5.7432 7.1060
Ag 5.4139 2.5029 0.9939
Ag 7.6486 4.6711 3.8796
CELL_PARAMETERS angstrom
5.4369 0.0000 0.0000
2.1821 7.1842 0.0000
2.7140 -0.0001 7.1259
```

***

three | A plane-wave DFT calculation with PBE was carried out for a relaxed structure of Al3Ag5. Values from VASP.

Its symmetry is P1, No. 1. The value obtained for the total magnetization is 0.000 μB/atom.

Geometry as Quantum ESPRESSO input:
```
&SYSTEM
  ibrav = 0, nat = 8, ntyp = 2
/
ATOMIC_SPECIES
Al 26.98 Al.upf
Ag 107.87 Ag.upf
ATOMIC_POSITIONS angstrom
Al 0.0000 0.0000 0.0000
Al 1.4850 0.6514 4.9167
Al 2.9440 2.1643 6.8202
Ag 1.4831 1.3844 1.7785
Ag 2.9759 2.6794 3.9020
Ag 2.9555 3.7564 0.9968
Ag 4.4670 4.3009 5.8598
Ag 4.4465 5.1076 3.0794
CELL_PARAMETERS angstrom
3.0434 0.0000 0.0000
1.4092 5.8427 0.0000
1.4564 -0.0820 7.7097
```

***

Which of them is most stable, and which least? Most stable: three; least stable: two.

***

one | A plane-wave DFT calculation with PBE was carried out for a relaxed structure of Al3Ag2. Values from VASP.

Its symmetry is R-3m, No. 166. The value obtained for the total magnetization is 0.000 μB/atom.

Geometry as Quantum ESPRESSO input:
```
&SYSTEM
  ibrav = 0, nat = 15, ntyp = 2
/
ATOMIC_SPECIES
Al 26.98 Al.upf
Ag 107.87 Ag.upf
ATOMIC_POSITIONS angstrom
Al 0.0000 0.0000 0.0000
Al 0.0000 0.0000 6.5235
Al 0.0000 0.0000 26.0446
Al 0.0000 1.7371 15.1886
Al 0.0000 1.7371 21.7121
Al 0.0000 1.7371 28.2357
Al 1.5044 0.8686 4.3325
Al 1.5044 0.8686 10.8561
Al 1.5044 0.8686 17.3796
Ag 0.0000 0.0000 13.0344
Ag 0.0000 0.0000 19.5338
Ag 0.0000 1.7371 2.1784
Ag 0.0000 1.7371 8.6777
Ag 1.5044 0.8686 23.8905
Ag 1.5044 0.8686 30.3898
CELL_PARAMETERS angstrom
3.0087 0.0000 0.0000
-1.5044 2.6057 0.0000
0.0000 0.0000 32.5682
```

***

two | A plane-wave DFT calculation with PBE was carried out for a relaxed structure of Al3Ag2. Values from VASP.

Its symmetry is P-3m1, No. 164. The value obtained for the total magnetization is 0.000 μB/atom.

Geometry as Quantum ESPRESSO input:
```
&SYSTEM
  ibrav = 0, nat = 5, ntyp = 2
/
ATOMIC_SPECIES
Al 26.98 Al.upf
Ag 107.87 Ag.upf
ATOMIC_POSITIONS angstrom
Al 0.0000 0.0000 0.0000
Al 0.0000 2.5408 1.9203
Al 2.2004 1.2704 3.5391
Ag 0.0000 2.5408 4.5151
Ag 2.2004 1.2704 0.9442
CELL_PARAMETERS angstrom
4.4007 0.0000 0.0000
-2.2004 3.8111 0.0000
0.0000 0.0000 5.4593
```

***

Which of them is most stable, and which least? Most stable: one; least stable: two.

***

one | A plane-wave DFT calculation with PBE was carried out for a relaxed structure of Al3Ag2. Values from VASP.

Its symmetry is P-3m1, No. 164. The value obtained for the total magnetization is 0.000 μB/atom.

Geometry as Quantum ESPRESSO input:
```
&SYSTEM
  ibrav = 0, nat = 5, ntyp = 2
/
ATOMIC_SPECIES
Al 26.98 Al.upf
Ag 107.87 Ag.upf
ATOMIC_POSITIONS angstrom
Al 0.0000 0.0000 0.0000
Al 0.0000 1.6951 4.5737
Al 1.4680 0.8475 6.8261
Ag 0.0000 1.6951 9.1205
Ag 1.4680 0.8475 2.2793
CELL_PARAMETERS angstrom
2.9359 0.0000 0.0000
-1.4680 2.5426 0.0000
0.0000 0.0000 11.3998
```

***

two | A plane-wave DFT calculation with PBE was carried out for a relaxed structure of Al3Ag2. Values from VASP.

Its symmetry is Cm, No. 8. The value obtained for the total magnetization is 0.000 μB/atom.

Geometry as Quantum ESPRESSO input:
```
&SYSTEM
  ibrav = 0, nat = 10, ntyp = 2
/
ATOMIC_SPECIES
Al 26.98 Al.upf
Ag 107.87 Ag.upf
ATOMIC_POSITIONS angstrom
Al 0.0000 0.0000 0.0000
Al 0.8325 0.0000 2.7387
Al 1.7541 0.0000 5.4916
Al 4.7891 0.0000 1.8401
Al 5.6983 0.0000 4.5708
Al 8.7688 0.0000 0.9003
Ag 2.5507 0.0000 8.2703
Ag 6.5257 0.0000 7.2446
Ag 9.6039 0.0000 3.5686
Ag 10.4972 0.0000 6.3067
CELL_PARAMETERS angstrom
6.3840 -1.4691 0.0000
6.3840 1.4691 0.0000
-1.4408 0.0000 9.0480
```

***

three | A plane-wave DFT calculation with PBE was carried out for a relaxed structure of Al3Ag2. Values from VASP.

Its symmetry is P1, No. 1. The value obtained for the total magnetization is 0.000 μB/atom.

Geometry as Quantum ESPRESSO input:
```
&SYSTEM
  ibrav = 0, nat = 10, ntyp = 2
/
ATOMIC_SPECIES
Al 26.98 Al.upf
Ag 107.87 Ag.upf
ATOMIC_POSITIONS angstrom
Al 0.0000 0.0000 0.0000
Al 2.7865 4.0815 6.0817
Al 2.6663 2.4671 3.6298
Al 6.2206 6.0018 4.8321
Al 5.2712 3.2186 4.7947
Al 5.1872 1.5859 2.4163
Ag 3.6001 5.2056 3.7516
Ag 2.5756 0.7955 1.1387
Ag 3.5772 3.4629 1.1105
Ag 6.1724 4.2908 2.4080
CELL_PARAMETERS angstrom
5.1379 0.0000 0.0000
1.8674 5.4418 0.0000
1.8702 1.4203 6.0972
```

***

Which of them is most stable, and which least? Most stable: two; least stable: one.